(a)
NbFe3Ru | PBE | optimized geometry

Calculated values
**Space-group type**: Pm-3m (221)
**Total moment**: 1.358 μB per atom

```
NbFe3Ru
1.0
-3.8537 -1.6201 1.4140
2.1037 -2.2385 3.1684
-0.4459 3.4408 2.7271
Ru Nb Fe
1 1 3
Direct
0.5000 0.5000 0.5000 Ru
0.0000 0.0000 0.0000 Nb
0.0000 0.5000 0.0000 Fe
0.0000 0.0000 0.5000 Fe
0.5000 0.0000 0.0000 Fe
```

(b)
NbFe3Ru | PBE | optimized geometry

Calculated values
**Space-group type**: Pm-3m (221)
**Total moment**: 1.232 μB per atom

```
NbFe3Ru
1.0
-1.1429 -4.2992 -0.2239
4.2976 -1.1258 -0.3208
0.2531 -0.2983 4.4369
Ru Nb Fe
1 1 3
Direct
0.0000 0.0000 0.0000 Ru
0.5000 0.5000 0.5000 Nb
0.0000 0.5000 0.0000 Fe
0.0000 0.0000 0.5000 Fe
0.5000 0.0000 0.0000 Fe
```

Energy relative to the most stable one, in eV/atom: (a) 0.338; (b) 0.000